# Bi2Se3 | the Alexandria database | GGA-PBE | optimized geometry
# - total magnetization (μB/cell) = 0.00
# - raw formation energy (eV/atom) = -0.236
# - crystal system = hexagonal
# - energy (eV per atom) = -3.88
data_Bi2Se3
_symmetry_space_group_name_H-M 'P 63/m m c'
_symmetry_Int_Tables_number 194
_symmetry_space_group_name_Hall '-P 6c 2c'
_cell_length_a 4.7918
_cell_length_b 4.7918
_cell_length_c 17.0818
_cell_angle_alpha 90.00
_cell_angle_beta 90.00
_cell_angle_gamma 120.00
loop_
_atom_site_label
_atom_site_fract_x
_atom_site_fract_y
_atom_site_fract_z
_atom_site_occupancy
Bi1 0.0000 0.0000 0.0000 1
Bi2 0.3333 0.6667 0.2500 1
Se1 0.0000 0.0000 0.2500 1
Se2 0.3333 0.6667 0.0762 1

***

# CdPbAu2 | the Alexandria database | GGA-PBE | optimized geometry
# - total magnetization (μB/cell) = 0.00
# - crystal system = orthorhombic
# - energy (eV per atom) = -2.82
data_CdPbAu2
_symmetry_space_group_name_H-M 'I m m 2'
_symmetry_Int_Tables_number 44
_cell_length_a 3.565
_cell_length_b 5.046
_cell_length_c 9.914
_cell_angle_alpha 90.00
_cell_angle_beta 90.00
_cell_angle_gamma 90.00
loop_
_symmetry_equiv_pos_as_xyz
'x,y,z'
'-x,-y,z'
'-x,y,z'
'x,-y,z'
'x+1/2,y+1/2,z+1/2'
'-x+1/2,-y+1/2,z+1/2'
'-x+1/2,y+1/2,z+1/2'
'x+1/2,-y+1/2,z+1/2'
loop_
_atom_site_label
_atom_site_fract_x
_atom_site_fract_y
_atom_site_fract_z
_atom_site_occupancy
Cd1 0.000 0.000 0.000 1
Pb1 0.000 0.500 0.784 1
Au1 0.000 0.000 0.536 1
Au2 0.000 0.500 0.261 1

***

# Na3MoBr6 | the Alexandria database | GGA-PBE | optimized geometry
# - total magnetization (μB/cell) = 18.00
# - raw formation energy (eV/atom) = -1.121
# - crystal system = trigonal
# - energy (eV per atom) = -3.60
data_Na3MoBr6
_symmetry_space_group_name_H-M 'R -3'
_symmetry_Int_Tables_number 148
_symmetry_space_group_name_Hall '-R 3'
_cell_length_a 12.1071
_cell_length_b 12.1071
_cell_length_c 14.6075
_cell_angle_alpha 90.00
_cell_angle_beta 90.00
_cell_angle_gamma 120.00
loop_
_atom_site_label
_atom_site_fract_x
_atom_site_fract_y
_atom_site_fract_z
_atom_site_occupancy
Na1 0.0568 0.2711 0.1994 1
Mo1 0.0000 0.0000 0.0000 1
Mo2 0.0000 0.0000 0.5000 1
Br1 0.0194 0.1893 0.3996 1
Br2 0.0368 0.1901 0.8939 1

***

# SrNdPb6 | the Alexandria database | GGA-PBE | optimized geometry
# - total magnetization (μB/cell) = 0.00
# - crystal system = tetragonal
# - energy (eV per atom) = -3.95
data_SrNdPb6
_symmetry_space_group_name_H-M 'P 4/m m m'
_symmetry_Int_Tables_number 123
_symmetry_space_group_name_Hall '-P 4 2'
_cell_length_a 4.957
_cell_length_b 4.957
_cell_length_c 10.051
_cell_angle_alpha 90.00
_cell_angle_beta 90.00
_cell_angle_gamma 90.00
loop_
_atom_site_label
_atom_site_fract_x
_atom_site_fract_y
_atom_site_fract_z
_atom_site_occupancy
Sr1 0.000 0.000 0.000 1
Nd1 0.000 0.000 0.500 1
Pb1 0.000 0.500 0.253 1
Pb2 0.500 0.500 0.000 1
Pb3 0.500 0.500 0.500 1

***

# Dy5Tm3Sc | the Alexandria database | GGA-PBE | optimized geometry
# - total magnetization (μB/cell) = 0.00
# - crystal system = monoclinic
# - energy (eV per atom) = -4.15
data_Dy5Tm3Sc
_symmetry_space_group_name_H-M 'C 1 2/m 1'
_symmetry_Int_Tables_number 12
_cell_length_a 11.954
_cell_length_b 11.131
_cell_length_c 11.366
_cell_angle_alpha 90.00
_cell_angle_beta 119.78
_cell_angle_gamma 90.00
loop_
_symmetry_equiv_pos_as_xyz
'x,y,z'
'-x,-y,-z'
'-x,y,-z'
'x,-y,z'
'x+1/2,y+1/2,z'
'-x+1/2,-y+1/2,-z'
'-x+1/2,y+1/2,-z'
'x+1/2,-y+1/2,z'
loop_
_atom_site_label
_atom_site_fract_x
_atom_site_fract_y
_atom_site_fract_z
_atom_site_occupancy
Dy1 0.000 0.217 0.000 1
Dy2 0.008 0.000 0.374 1
Dy3 0.173 0.244 0.794 1
Dy4 0.177 0.000 0.953 1
Tm1 0.000 0.500 0.000 1
Tm2 0.000 0.500 0.500 1
Tm3 0.180 0.000 0.241 1
Tm4 0.217 0.500 0.344 1
Sc1 0.071 0.500 0.791 1

***

# LaCN2 | the Alexandria database | GGA-PBE | optimized geometry
# - total magnetization (μB/cell) = 0.00
# - raw formation energy (eV/atom) = 0.430
# - crystal system = tetragonal
# - energy (eV per atom) = -7.27
data_LaCN2
_symmetry_space_group_name_H-M 'I -4 2 d'
_symmetry_Int_Tables_number 122
_symmetry_space_group_name_Hall 'I -4 2bw'
_cell_length_a 5.210
_cell_length_b 5.210
_cell_length_c 6.276
_cell_angle_alpha 90.00
_cell_angle_beta 90.00
_cell_angle_gamma 90.00
loop_
_atom_site_label
_atom_site_fract_x
_atom_site_fract_y
_atom_site_fract_z
_atom_site_occupancy
La1 0.000 0.000 0.000 1
C1 0.000 0.000 0.500 1
N1 0.097 0.250 0.625 1

***

# Cd3CuAu4 | the Alexandria database | GGA-PBE | optimized geometry
# - total magnetization (μB/cell) = 0.00
# - crystal system = tetragonal
# - energy (eV per atom) = -2.62
data_Cd3CuAu4
_symmetry_space_group_name_H-M 'P 4/m m m'
_symmetry_Int_Tables_number 123
_symmetry_space_group_name_Hall '-P 4 2'
_cell_length_a 3.134
_cell_length_b 3.134
_cell_length_c 14.957
_cell_angle_alpha 90.00
_cell_angle_beta 90.00
_cell_angle_gamma 90.00
loop_
_atom_site_label
_atom_site_fract_x
_atom_site_fract_y
_atom_site_fract_z
_atom_site_occupancy
Cd1 0.000 0.000 0.000 1
Cd2 0.000 0.000 0.265 1
Cu1 0.000 0.000 0.500 1
Au1 0.500 0.500 0.132 1
Au2 0.500 0.500 0.396 1

***

# HfAl2Rh2 | the Alexandria database | GGA-PBE | optimized geometry
# - total magnetization (μB/cell) = 0.00
# - crystal system = tetragonal
# - energy (eV per atom) = -7.13
data_HfAl2Rh2
_symmetry_space_group_name_H-M 'I 4/m m m'
_symmetry_Int_Tables_number 139
_symmetry_space_group_name_Hall '-I 4 2'
_cell_length_a 3.674
_cell_length_b 3.674
_cell_length_c 12.280
_cell_angle_alpha 90.00
_cell_angle_beta 90.00
_cell_angle_gamma 90.00
loop_
_atom_site_label
_atom_site_fract_x
_atom_site_fract_y
_atom_site_fract_z
_atom_site_occupancy
Hf1 0.000 0.000 0.000 1
Al1 0.000 0.500 0.250 1
Rh1 0.000 0.000 0.392 1

***

total magnetization of number 4 (SrNdPb6)?
0.00 μB/cell